(1)
Material: La2AlNi
Method: DFT, GGA-PBEsol
State: relaxed

## Properties
Final energy (eV per formula unit): -22.119
D(E_F) (states/eV per cell): 3.07
E_form (eV per atom): -0.29
Size of the total moment (μB per formula unit): 0.00
V (Å³ per cell): 91

a b c (Å): 3.5067 4.8804 6.0864
angles (deg): 113.64 106.74 90.00
Last column: nearest neighbours and their distance in Å.
Sites, in units of the cell vectors:
Ni  0.4676  0.4676  0.9351  2 Al 2.42
La  0.2060  0.7060  0.4119  2 Ni 3.07, 2 La 3.16, 4 Al 3.20
Al  0.8106  0.3106  0.6212  2 Ni 2.42
La  0.0159  0.0159  0.0318  4 Ni 3.05, 2 La 3.16, 2 Al 3.27

(2)
Material: HfCoPS2
Method: DFT, GGA-PBEsol
State: relaxed

## Properties
Final energy (eV per formula unit): -30.563
D(E_F) (states/eV per cell): 7.21
E_form (uncorrected) (eV/atom): 0.4473
Size of the total moment (μB per formula unit): 2.89
V (Å³ per cell): 114

a b c (Å): 4.7957 4.7957 4.9747
angles (deg): 90.00 90.00 90.00
Last column: nearest neighbours and their distance in Å.
Sites, in units of the cell vectors:
P  0.0000  0.0000  0.5000  2 Hf 2.49
S  0.5000  0.0000  0.0000  2 Hf 2.40
Hf  0.0000  0.0000  0.0000  4 S 2.40, 2 P 2.49
Co  0.5000  0.5000  0.5000  4 P 3.39, 8 S 3.45
S  0.0000  0.5000  0.0000  2 Hf 2.40

(3)
Material: K5Hg3
Method: DFT, GGA-PBEsol
State: relaxed

## Properties
Final energy (eV per formula unit): -8.480
D(E_F) (states/eV per cell): 7.78
E_form (eV per atom): -0.14
Size of the total moment (μB per formula unit): 0.00
V (Å³ per cell): 638

a b c (Å): 7.1033 10.1867 10.1867
angles (deg): 120.00 90.00 90.00
Last column: nearest neighbours and their distance in Å.
Sites, in units of the cell vectors:
K  0.2500  0.7438  0.0000  5 Hg 3.51-3.84
K  0.0000  0.3333  0.6667  2 K 3.55, 6 Hg 3.58
K  0.7500  0.0000  0.2562  5 Hg 3.51-3.84
K  0.7500  0.7438  0.7438  5 Hg 3.51-3.84
Hg  0.2500  0.6004  0.6004  9 K 3.51-3.84
K  0.7500  0.2562  0.0000  5 Hg 3.51-3.84
K  0.2500  0.2562  0.2562  5 Hg 3.51-3.84
Hg  0.2500  0.0000  0.3996  9 K 3.51-3.84
K  0.0000  0.6667  0.3333  2 K 3.55, 6 Hg 3.58
Hg  0.2500  0.3996  0.0000  9 K 3.51-3.84
K  0.5000  0.6667  0.3333  2 K 3.55, 6 Hg 3.58
K  0.2500  0.0000  0.7438  5 Hg 3.51-3.84
Hg  0.7500  0.3996  0.3996  9 K 3.51-3.84
Hg  0.7500  0.0000  0.6004  9 K 3.51-3.84
Hg  0.7500  0.6004  0.0000  9 K 3.51-3.84
K  0.5000  0.3333  0.6667  2 K 3.55, 6 Hg 3.58

(4)
Material: CsYSeN2
Method: DFT, GGA-PBEsol
State: relaxed

## Properties
Final energy (eV per formula unit): -22.325
D(E_F) (states/eV per cell): 1.76
E_form (uncorrected) (eV/atom): 1.2686
Size of the total moment (μB per formula unit): 0.00
V (Å³ per cell): 110

a b c (Å): 4.2432 4.2432 6.1119
angles (deg): 90.00 90.00 90.00
Last column: nearest neighbours and their distance in Å.
Sites, in units of the cell vectors:
Y  0.5000  0.5000  0.5000  4 Se 3.00
Se  0.0000  0.0000  0.5000  4 Y 3.00, 2 Cs 3.06
N  0.0000  0.5000  0.0000  2 Cs 2.12
Cs  0.0000  0.0000  0.0000  4 N 2.12
N  0.5000  0.0000  0.0000  2 Cs 2.12

(5)
Material: YMg2Cr
Method: DFT, GGA-PBEsol
State: relaxed

## Properties
Final energy (eV per formula unit): -19.272
D(E_F) (states/eV per cell): 3.12
E_form (eV per atom): 0.31
Size of the total moment (μB per formula unit): 3.80
V (Å³ per cell): 89

a b c (Å): 4.2865 4.2535 4.8823
angles (deg): 90.00 90.00 90.00
Last column: nearest neighbours and their distance in Å.
Sites, in units of the cell vectors:
Y  0.5000  0.0000  0.5000  4 Cr 3.02, 8 Mg 3.24-3.25
Mg  0.0000  0.0000  0.0000  4 Mg 3.02, 4 Cr 3.24, 4 Y 3.25
Cr  0.0000  0.5000  0.5000  4 Y 3.02, 8 Mg 3.24-3.25
Mg  0.5000  0.5000  0.0000  4 Mg 3.02, 4 Y 3.24, 4 Cr 3.25

(6)
Material: CaV4Co3O12
Method: DFT, GGA-PBEsol
State: relaxed

## Properties
Final energy (eV per formula unit): -166.014
D(E_F) (states/eV per cell): 20.15
E_form (uncorrected) (eV/atom): -1.9570
Size of the total moment (μB per formula unit): 8.06
V (Å³ per cell): 188

a b c (Å): 6.2490 6.2490 6.2490
angles (deg): 109.47 109.47 109.47
Last column: nearest neighbours and their distance in Å.
Sites, in units of the cell vectors:
O  0.1787  0.3075  0.4863  1 Co 1.90, 2 V 1.92
V  0.5000  0.0000  0.0000  6 O 1.92
O  0.5137  0.8213  0.6925  1 Co 1.90, 2 V 1.92
O  0.8712  0.1787  0.6925  1 Co 1.90, 2 V 1.92
O  0.8213  0.6925  0.5137  1 Co 1.90, 2 V 1.92
O  0.4863  0.1787  0.3075  1 Co 1.90, 2 V 1.92
V  0.0000  0.0000  0.5000  6 O 1.92
V  0.5000  0.5000  0.5000  6 O 1.92
O  0.1787  0.6925  0.8712  1 Co 1.90, 2 V 1.92
Co  0.5000  0.0000  0.5000  4 O 1.90
Co  0.0000  0.5000  0.5000  4 O 1.90
O  0.3075  0.1288  0.8213  1 Co 1.90, 2 V 1.92
O  0.8213  0.3075  0.1288  1 Co 1.90, 2 V 1.92
Co  0.5000  0.5000  0.0000  4 O 1.90
Ca  0.0000  0.0000  0.0000  12 O 2.57
O  0.6925  0.5137  0.8213  1 Co 1.90, 2 V 1.92
V  0.0000  0.5000  0.0000  6 O 1.92
O  0.6925  0.8712  0.1787  1 Co 1.90, 2 V 1.92
O  0.1288  0.8213  0.3075  1 Co 1.90, 2 V 1.92
O  0.3075  0.4863  0.1787  1 Co 1.90, 2 V 1.92

(7)
Material: Bi3Sb
Method: DFT, GGA-PBEsol
State: relaxed

## Properties
Final energy (eV per formula unit): -17.399
D(E_F) (states/eV per cell): 0.47
E_form (uncorrected) (eV/atom): 0.0038
Size of the total moment (μB per formula unit): 0.00
V (Å³ per cell): 133

a b c (Å): 4.4807 4.4807 8.0948
angles (deg): 73.93 73.93 60.00
Last column: nearest neighbours and their distance in Å.
Sites, in units of the cell vectors:
Bi  0.6208  0.6208  0.1377  3 Bi 3.07, 3 Sb 3.37
Bi  0.1158  0.1158  0.6526  3 Sb 3.02
Bi  0.8821  0.8821  0.3538  3 Bi 3.07
Sb  0.3813  0.3813  0.8560  6 Bi 3.02-3.37

(8)
Material: ZnCdCu4
Method: DFT, GGA-PBEsol
State: relaxed

## Properties
Final energy (eV per formula unit): -19.934
D(E_F) (states/eV per cell): 1.81
E_form (eV per atom): 0.03
Size of the total moment (μB per formula unit): 0.00
V (Å³ per cell): 80

a b c (Å): 4.8447 4.8447 4.8447
angles (deg): 60.00 60.00 60.00
Last column: nearest neighbours and their distance in Å.
Sites, in units of the cell vectors:
Cu  0.3753  0.3753  0.8741  6 Cu 2.42-2.43
Cd  0.0000  0.0000  0.0000  12 Cu 2.84, 4 Zn 2.97
Cu  0.3753  0.3753  0.3753  6 Cu 2.42-2.43
Zn  0.7500  0.7500  0.7500  12 Cu 2.84, 4 Cd 2.97
Cu  0.8741  0.3753  0.3753  6 Cu 2.42-2.43
Cu  0.3753  0.8741  0.3753  6 Cu 2.42-2.43

(9)
Material: Mg2CoCl
Method: DFT, GGA-PBEsol
State: relaxed

## Properties
Final energy (eV per formula unit): -12.751
D(E_F) (states/eV per cell): 4.49
E_form (uncorrected) (eV/atom): 0.1069
Size of the total moment (μB per formula unit): 1.56
V (Å³ per cell): 73

a b c (Å): 3.1508 5.2730 5.2730
angles (deg): 62.38 72.62 72.62
Last column: nearest neighbours and their distance in Å.
Sites, in units of the cell vectors:
Cl  0.5000  0.0000  0.0000  4 Mg 2.58
Mg  0.7576  0.2424  0.2424  2 Cl 2.58, 2 Co 2.69
Co  0.0000  0.5000  0.5000  4 Mg 2.69
Mg  0.2424  0.7576  0.7576  2 Cl 2.58, 2 Co 2.69

(10)
Material: AlWAu2
Method: DFT, GGA-PBEsol
State: relaxed

## Properties
Final energy (eV per formula unit): -25.420
D(E_F) (states/eV per cell): 2.00
E_form (eV per atom): 0.08
Size of the total moment (μB per formula unit): 0.00
V (Å³ per cell): 63

a b c (Å): 2.8522 2.8522 9.1619
angles (deg): 81.05 81.05 60.00
Last column: nearest neighbours and their distance in Å.
Sites, in units of the cell vectors:
Al  0.0000  0.0000  0.0000  6 Au 2.71, 6 Al 2.85
W  0.5000  0.5000  0.5000  6 W 2.85, 6 Au 2.87
Au  0.2537  0.2537  0.2390  3 Al 2.71, 6 Au 2.85, 3 W 2.87
Au  0.7463  0.7463  0.7610  3 Al 2.71, 6 Au 2.85, 3 W 2.87

(11)
Material: BaMnRh2
Method: DFT, GGA-PBEsol
State: relaxed

## Properties
Final energy (eV per formula unit): -25.690
D(E_F) (states/eV per cell): 2.36
E_form (eV per atom): 0.62
Size of the total moment (μB per formula unit): 5.02
V (Å³ per cell): 74

a b c (Å): 4.0398 5.3770 4.0398
angles (deg): 67.94 90.00 112.06
Last column: nearest neighbours and their distance in Å.
Sites, in units of the cell vectors:
Ba  0.5000  0.0000  0.5000  8 Rh 2.86-3.04, 4 Mn 3.04
Rh  0.0000  0.0000  0.0000  4 Ba 2.86, 4 Mn 3.04, 4 Rh 3.04
Rh  0.2500  0.5000  0.2500  4 Mn 2.86, 4 Rh 3.04, 4 Ba 3.04
Mn  0.7500  0.5000  0.7500  8 Rh 2.86-3.04, 4 Ba 3.04

(12)
Material: Al2Se3
Method: DFT, GGA-PBEsol
State: relaxed

## Properties
Final energy (eV per formula unit): -23.866
E_form (uncorrected) (eV/atom): -0.8266
Size of the total moment (μB per formula unit): 0.00
V (Å³ per cell): 903

a b c (Å): 7.5233 7.5233 16.8100
angles (deg): 102.93 102.93 90.00
Last column: nearest neighbours and their distance in Å.
Sites, in units of the cell vectors:
Al  0.2709  0.5437  0.0874  6 Se 2.51-2.70
Se  0.0456  0.3019  0.0912  3 Al 2.51-2.53
Al  0.3288  0.3288  0.6575  4 Se 2.42-2.44
Se  0.5371  0.7680  0.0742  4 Al 2.42-2.70
Al  0.6250  0.8750  0.7500  6 Se 2.53-2.61
Se  0.3658  0.6251  0.2502  4 Al 2.44-2.61
Se  0.3749  0.6342  0.7498  4 Al 2.44-2.61
Al  0.9791  0.2063  0.4126  6 Se 2.51-2.70
Se  0.2320  0.4629  0.9258  4 Al 2.42-2.70
Se  0.3749  0.1156  0.7498  4 Al 2.44-2.61
Se  0.0393  0.7956  0.5912  3 Al 2.51-2.53
Al  0.1250  0.3750  0.2500  6 Se 2.53-2.61
Se  0.5563  0.2871  0.5742  4 Al 2.42-2.70
Al  0.6712  0.6712  0.3425  4 Se 2.42-2.44
Se  0.7129  0.9820  0.4258  4 Al 2.42-2.70
Se  0.8751  0.6344  0.7502  4 Al 2.44-2.61
Se  0.2107  0.9544  0.9088  3 Al 2.51-2.53
Se  0.8844  0.6251  0.2502  4 Al 2.44-2.61
Al  0.7937  0.5665  0.5874  6 Se 2.51-2.70
Al  0.4335  0.2063  0.4126  6 Se 2.51-2.70
Se  0.5519  0.7956  0.5912  3 Al 2.51-2.53
Se  0.7129  0.4437  0.4258  4 Al 2.42-2.70
Se  0.6937  0.4629  0.9258  4 Al 2.42-2.70
Se  0.0180  0.2871  0.5742  4 Al 2.42-2.70
Al  0.8165  0.5437  0.0874  6 Se 2.51-2.70
Al  0.4563  0.7291  0.9126  6 Se 2.51-2.70
Se  0.3656  0.1249  0.2498  4 Al 2.44-2.61
Al  0.9212  0.4212  0.8425  4 Se 2.42-2.44
Al  0.1250  0.8750  0.2500  6 Se 2.53-2.61
Se  0.8842  0.1249  0.2498  4 Al 2.44-2.61
Se  0.2044  0.9607  0.4088  3 Al 2.51-2.53
Se  0.6981  0.9544  0.9088  3 Al 2.51-2.53
Al  0.4563  0.1835  0.9126  6 Se 2.51-2.70
Al  0.1250  0.8750  0.7500  6 Se 2.53-2.61
Se  0.0456  0.7893  0.0912  3 Al 2.51-2.53
Se  0.5371  0.3063  0.0742  4 Al 2.42-2.70
Se  0.8751  0.1158  0.7502  4 Al 2.44-2.61
Se  0.2044  0.4481  0.4088  3 Al 2.51-2.53
Al  0.7937  0.0209  0.5874  6 Se 2.51-2.70
Al  0.5788  0.0788  0.1575  4 Se 2.42-2.44

(13)
Material: Li3AlSn
Method: DFT, GGA-PBEsol
State: relaxed

## Properties
Final energy (eV per formula unit): -12.836
D(E_F) (states/eV per cell): 2.72
E_form (eV per atom): 0.28
Size of the total moment (μB per formula unit): 0.00
V (Å³ per cell): 129

a b c (Å): 5.0481 5.0481 5.0481
angles (deg): 90.00 90.00 90.00
Last column: nearest neighbours and their distance in Å.
Sites, in units of the cell vectors:
Li  0.0000  0.5000  0.0000  2 Sn 2.52
Li  0.0000  0.0000  0.5000  2 Sn 2.52
Al  0.5000  0.5000  0.5000  12 Li 3.57
Li  0.5000  0.0000  0.0000  2 Sn 2.52
Sn  0.0000  0.0000  0.0000  6 Li 2.52

(14)
Material: AlZnSb2
Method: DFT, GGA-PBEsol
State: relaxed

## Properties
Final energy (eV per formula unit): -13.703
D(E_F) (states/eV per cell): 1.60
E_form (uncorrected) (eV/atom): 0.2712
Size of the total moment (μB per formula unit): 0.00
V (Å³ per cell): 88

a b c (Å): 4.9986 4.9986 4.9986
angles (deg): 60.00 60.00 60.00
Last column: nearest neighbours and their distance in Å.
Sites, in units of the cell vectors:
Zn  0.2500  0.2500  0.2500  4 Sb 3.06, 4 Al 3.06
Sb  0.0000  0.0000  0.0000  4 Zn 3.06, 4 Sb 3.06
Sb  0.7500  0.7500  0.7500  4 Sb 3.06, 4 Al 3.06
Al  0.5000  0.5000  0.5000  4 Sb 3.06, 4 Zn 3.06

(15)
Material: Cd2CoNi
Method: DFT, GGA-PBEsol
State: relaxed

## Properties
Final energy (eV per formula unit): -15.021
D(E_F) (states/eV per cell): 4.53
E_form (eV per atom): 0.32
Size of the total moment (μB per formula unit): 1.45
V (Å³ per cell): 59

a b c (Å): 2.8171 2.8171 8.7659
angles (deg): 80.75 80.75 60.00
Last column: nearest neighbours and their distance in Å.
Sites, in units of the cell vectors:
Cd  0.7491  0.7491  0.7528  3 Ni 2.68, 3 Co 2.72, 6 Cd 2.82
Cd  0.2509  0.2509  0.2472  3 Ni 2.68, 3 Co 2.72, 6 Cd 2.82
Co  0.5000  0.5000  0.5000  6 Cd 2.72, 6 Co 2.82
Ni  0.0000  0.0000  0.0000  6 Cd 2.68, 6 Ni 2.82

(16)
Material: ZnFePS2
Method: DFT, GGA-PBEsol
State: relaxed

## Properties
Final energy (eV per formula unit): -19.989
D(E_F) (states/eV per cell): 5.94
E_form (uncorrected) (eV/atom): 1.0232
Size of the total moment (μB per formula unit): 3.51
V (Å³ per cell): 94

a b c (Å): 4.4531 4.5907 4.5907
angles (deg): 90.00 90.00 90.00
Last column: nearest neighbours and their distance in Å.
Sites, in units of the cell vectors:
Fe  0.5000  0.5000  0.5000  8 S 3.20, 4 P 3.25
P  0.5000  0.0000  0.0000  2 Zn 2.23
S  0.0000  0.0000  0.5000  2 Zn 2.30
S  0.0000  0.5000  0.0000  2 Zn 2.30
Zn  0.0000  0.0000  0.0000  2 P 2.23, 4 S 2.30

(17)
Material: ScSiAs
Method: DFT, GGA-PBEsol
State: relaxed

## Properties
Final energy (eV per formula unit): -17.878
D(E_F) (states/eV per cell): 2.08
E_form (uncorrected) (eV/atom): -0.1399
Size of the total moment (μB per formula unit): 0.00
V (Å³ per cell): 62

a b c (Å): 4.4459 4.4459 4.4459
angles (deg): 60.00 60.00 60.00
Last column: nearest neighbours and their distance in Å.
Sites, in units of the cell vectors:
As  0.5000  0.5000  0.5000  4 Sc 2.72
Sc  0.2500  0.2500  0.2500  4 Si 2.72, 4 As 2.72
Si  0.0000  0.0000  0.0000  4 Sc 2.72

(18)
Material: Ru2PtW
Method: DFT, GGA-PBEsol
State: relaxed

## Properties
Final energy (eV per formula unit): -41.589
D(E_F) (states/eV per cell): 2.99
E_form (eV per atom): -0.12
Size of the total moment (μB per formula unit): 0.00
V (Å³ per cell): 57

a b c (Å): 3.8317 3.8317 4.7209
angles (deg): 113.94 113.94 90.00
Last column: nearest neighbours and their distance in Å.
Sites, in units of the cell vectors:
W  0.5000  0.5000  0.0000  8 Ru 2.71-2.72, 4 Pt 2.72
Ru  0.0000  0.0000  0.0000  4 W 2.71, 4 Ru 2.72, 4 Pt 2.72
Pt  0.2500  0.7500  0.5000  8 Ru 2.71-2.72, 4 W 2.72
Ru  0.7500  0.2500  0.5000  4 Pt 2.71, 4 W 2.72, 4 Ru 2.72

(19)
Material: InAs2Os
Method: DFT, GGA-PBEsol
State: relaxed

## Properties
Final energy (eV per formula unit): -24.808
D(E_F) (states/eV per cell): 2.33
E_form (eV per atom): 0.15
Size of the total moment (μB per formula unit): 0.00
V (Å³ per cell): 80

a b c (Å): 3.0161 3.8263 7.5385
angles (deg): 91.91 90.00 113.21
Last column: nearest neighbours and their distance in Å.
Sites, in units of the cell vectors:
As  0.7901  0.5802  0.8176  3 Os 2.49-2.50
Os  0.5000  0.0000  0.0000  6 As 2.49-2.50
In  0.0000  0.0000  0.5000  2 As 2.86, 2 In 3.02
As  0.2099  0.4198  0.1824  3 Os 2.49-2.50

(20)
Material: ScGeTe2N
Method: DFT, GGA-PBEsol
State: relaxed

## Properties
Final energy (eV per formula unit): -26.214
D(E_F) (states/eV per cell): 3.81
E_form (uncorrected) (eV/atom): 0.1818
Size of the total moment (μB per formula unit): 0.01
V (Å³ per cell): 122

a b c (Å): 3.8542 5.6189 5.6189
angles (deg): 90.00 90.00 90.00
Last column: nearest neighbours and their distance in Å.
Sites, in units of the cell vectors:
Te  0.0000  0.5000  0.0000  2 Sc 2.81
Ge  0.5000  0.5000  0.5000  8 Te 3.41
Te  0.0000  0.0000  0.5000  2 Sc 2.81
N  0.5000  0.0000  0.0000  2 Sc 1.93
Sc  0.0000  0.0000  0.0000  2 N 1.93